Zr2InRh after structural relaxation, computed with GGA-PBE.

```
Zr2InRh
1.0
4.370 0.000 0.000
0.000 4.370 0.000
0.000 0.000 4.140
Zr In Rh
2 1 1
Cartesian
0.000 2.185 0.000
2.185 0.000 0.000
0.000 0.000 2.070
2.185 2.185 2.070
```

Summary:
total magnetic moment: 0.000 μB per cell
crystal system: tetragonal
symmetry: P4/mmm, No. 123

Zr2InRh3 after structural relaxation, computed with GGA-PBE.

```
Zr2InRh3
1.0
4.638 0.000 0.000
-2.319 4.017 0.000
0.000 0.000 11.382
Zr In Rh
4 2 6
Cartesian
0.000 0.000 0.000
0.000 0.000 5.691
0.000 2.678 2.010
2.319 1.339 9.372
0.000 2.678 7.593
2.319 1.339 3.789
0.000 0.000 2.760
0.000 0.000 8.622
0.000 2.678 4.790
0.000 2.678 10.540
2.319 1.339 0.842
2.319 1.339 6.592
```

Summary:
total magnetic moment: 0.000 μB per cell
crystal system: trigonal
symmetry: P-3m1, No. 164

ZrIn2Rh after structural relaxation, computed with GGA-PBE.

```
ZrIn2Rh
1.0
3.120 0.000 0.000
0.000 4.596 0.000
-1.216 0.000 5.613
Zr In Rh
1 2 1
Cartesian
0.000 0.000 0.000
0.202 2.298 4.135
1.702 2.298 1.479
0.952 0.000 2.807
```

Summary:
total magnetic moment: 0.000 μB per cell
crystal system: monoclinic
symmetry: P2/m, No. 10

| no. | VASP energy (eV per atom) | energy of formation (eV/atom) |
| --- | --- | --- |
| 1 | -7.2237 | -0.43 |
| 2 | -7.7146 | -0.73 |
| 3 | -5.5881 | -0.24 |